Entry 1:
This record from the Alexandria database describes a relaxed structure of Tl5In2Sn5. The functional is PBE.

Cell: 7.4675 7.4675 11.0840 Å, 113.97 113.97 38.74°
Atoms (fractional coordinates):
Tl  0.0000  0.0000  0.0000
Tl  0.1638  0.1638  0.4996
Tl  0.2483  0.2483  0.2487
Tl  0.7517  0.7517  0.7513
Tl  0.8362  0.8362  0.5004
In  0.0820  0.0820  0.7516
In  0.9180  0.9180  0.2484
Sn  0.3249  0.3249  0.9903
Sn  0.4323  0.4323  0.7560
Sn  0.5000  0.5000  0.5000
Sn  0.5677  0.5677  0.2440
Sn  0.6751  0.6751  0.0097

ΔE_f = 0.032 eV per atom
magnetization = 0.000 Bohr magnetons per cell


Entry 2:
This record from the Alexandria database describes a relaxed structure of TlInSn. The functional is PBE.

Cell: 12.6653 3.2311 9.5734 Å, 90.00 116.69 90.00°
Atoms (fractional coordinates):
Tl  0.1287  0.0000  0.0025
Tl  0.3713  0.5000  0.9975
Tl  0.6287  0.5000  0.0025
Tl  0.8713  0.0000  0.9975
In  0.1210  0.5000  0.6692
In  0.3790  0.0000  0.3308
In  0.6210  0.0000  0.6692
In  0.8790  0.5000  0.3308
Sn  0.1294  0.0000  0.3644
Sn  0.3706  0.5000  0.6356
Sn  0.6294  0.5000  0.3644
Sn  0.8706  0.0000  0.6356

E above lowest polymorph = 39 meV/atom
ΔE_f = 0.053 eV per atom
magnetization = 0.000 Bohr magnetons per cell


Entry 3:
This record from the Alexandria database describes a relaxed structure of TlIn2Sn4. The functional is PBE.

Cell: 4.2503 4.2503 22.9967 Å, 90.00 90.00 90.00°
Atoms (fractional coordinates):
Tl  0.0000  0.0000  0.0000
Tl  0.5000  0.5000  0.5000
In  0.0000  0.0000  0.4205
In  0.0000  0.0000  0.5795
In  0.5000  0.5000  0.0795
In  0.5000  0.5000  0.9205
Sn  0.0000  0.0000  0.1404
Sn  0.0000  0.0000  0.8596
Sn  0.0000  0.5000  0.2500
Sn  0.0000  0.5000  0.7500
Sn  0.5000  0.0000  0.2500
Sn  0.5000  0.0000  0.7500
Sn  0.5000  0.5000  0.3596
Sn  0.5000  0.5000  0.6404

E above lowest polymorph = 17 meV/atom
ΔE_f = 0.111 eV per atom
magnetization = 0.000 Bohr magnetons per cell


Entry 4:
This record from the Alexandria database describes a relaxed structure of Tl2In6Sn. The functional is PBE.

Cell: 9.5684 9.5684 3.2254 Å, 90.00 90.00 120.00°
Atoms (fractional coordinates):
Tl  0.3333  0.6667  0.0000
Tl  0.6667  0.3333  0.0000
In  0.0000  0.3327  0.3341
In  0.0000  0.6673  0.6659
In  0.3327  0.0000  0.3341
In  0.3327  0.3327  0.6659
In  0.6673  0.0000  0.6659
In  0.6673  0.6673  0.3341
Sn  0.0000  0.0000  0.5000

ΔE_f = 0.029 eV per atom
magnetization = 0.000 Bohr magnetons per cell


Entry 5:
This record from the Alexandria database describes a relaxed structure of TlIn8Sn6. The functional is PBE.

Cell: 9.0616 9.0616 9.0616 Å, 53.94 53.94 53.94°
Atoms (fractional coordinates):
Tl  0.0000  0.0000  0.0000
In  0.1307  0.4489  0.8005
In  0.1995  0.8693  0.5511
In  0.3346  0.3346  0.3346
In  0.4489  0.8005  0.1307
In  0.5511  0.1995  0.8693
In  0.6654  0.6654  0.6654
In  0.8005  0.1307  0.4489
In  0.8693  0.5511  0.1995
Sn  0.0656  0.7273  0.4160
Sn  0.2727  0.5840  0.9344
Sn  0.4160  0.0656  0.7273
Sn  0.5840  0.9344  0.2727
Sn  0.7273  0.4160  0.0656
Sn  0.9344  0.2727  0.5840

ΔE_f = 0.063 eV per atom
magnetization = 0.000 Bohr magnetons per cell


Entry 6:
This record from the Alexandria database describes a relaxed structure of TlIn2Sn. The functional is PBE.

Cell: 4.9110 4.9110 17.3431 Å, 90.00 90.00 120.00°
Atoms (fractional coordinates):
Tl  0.0000  0.0000  0.0000
Tl  0.3333  0.6667  0.6667
Tl  0.6667  0.3333  0.3333
In  0.0000  0.0000  0.2385
In  0.0000  0.0000  0.7615
In  0.3333  0.6667  0.4282
In  0.3333  0.6667  0.9052
In  0.6667  0.3333  0.0948
In  0.6667  0.3333  0.5718
Sn  0.0000  0.0000  0.5000
Sn  0.3333  0.6667  0.1667
Sn  0.6667  0.3333  0.8333

E above lowest polymorph = 39 meV/atom
ΔE_f = 0.062 eV per atom
magnetization = 0.000 Bohr magnetons per cell


Entry 7:
This record from the Alexandria database describes a relaxed structure of Tl4In2Sn3. The functional is PBE.

Cell: 7.0829 7.0829 11.3629 Å, 105.79 105.79 28.68°
Atoms (fractional coordinates):
Tl  0.0118  0.0118  0.3503
Tl  0.3385  0.3385  0.1142
Tl  0.6615  0.6615  0.8858
Tl  0.9882  0.9882  0.6497
In  0.3393  0.3393  0.7913
In  0.6607  0.6607  0.2087
Sn  0.0000  0.0000  0.0000
Sn  0.3128  0.3128  0.4302
Sn  0.6872  0.6872  0.5698

ΔE_f = 0.030 eV per atom
magnetization = 0.000 Bohr magnetons per cell


Entry 8:
This record from the Alexandria database describes a relaxed structure of TlInSn2. The functional is PBE.

Cell: 4.5245 4.5245 21.5814 Å, 90.00 90.00 120.00°
Atoms (fractional coordinates):
Tl  0.0000  0.0000  0.0000
Tl  0.3333  0.6667  0.6667
Tl  0.6667  0.3333  0.3333
In  0.0000  0.0000  0.1689
In  0.3333  0.6667  0.8355
In  0.6667  0.3333  0.5022
Sn  0.0000  0.0000  0.4285
Sn  0.0000  0.0000  0.5734
Sn  0.3333  0.6667  0.0952
Sn  0.3333  0.6667  0.2401
Sn  0.6667  0.3333  0.7619
Sn  0.6667  0.3333  0.9068

E above lowest polymorph = 71 meV/atom
ΔE_f = 0.107 eV per atom
magnetization = 0.000 Bohr magnetons per cell


Entry 9:
This record from the Alexandria database describes a relaxed structure of TlIn2Sn2. The functional is PBE.

Cell: 5.2093 5.2093 11.6754 Å, 90.00 90.00 90.00°
Atoms (fractional coordinates):
Tl  0.0000  0.0000  0.0000
Tl  0.5000  0.5000  0.5000
In  0.0000  0.5000  0.2500
In  0.0000  0.5000  0.7500
In  0.5000  0.0000  0.2500
In  0.5000  0.0000  0.7500
Sn  0.0000  0.0000  0.3779
Sn  0.0000  0.0000  0.6221
Sn  0.5000  0.5000  0.1221
Sn  0.5000  0.5000  0.8779

E above lowest polymorph = 31 meV/atom
ΔE_f = 0.058 eV per atom
magnetization = 0.000 Bohr magnetons per cell


Entry 10:
This record from the Alexandria database describes a relaxed structure of TlInSn. The functional is PBE.

Cell: 7.3180 7.3180 7.3180 Å, 90.00 90.00 90.00°
Atoms (fractional coordinates):
Tl  0.0000  0.0000  0.0000
Tl  0.0000  0.5000  0.5000
Tl  0.5000  0.0000  0.5000
Tl  0.5000  0.5000  0.0000
In  0.0000  0.0000  0.5000
In  0.0000  0.5000  0.0000
In  0.5000  0.0000  0.0000
In  0.5000  0.5000  0.5000
Sn  0.2500  0.2500  0.2500
Sn  0.2500  0.7500  0.7500
Sn  0.7500  0.2500  0.7500
Sn  0.7500  0.7500  0.2500

E above lowest polymorph = 52 meV/atom
ΔE_f = 0.066 eV per atom
magnetization = 0.000 Bohr magnetons per cell


Entry 11:
This record from the Alexandria database describes a relaxed structure of Tl3InSn3. The functional is PBE.

Cell: 7.7433 7.7433 7.7433 Å, 72.41 72.41 72.41°
Atoms (fractional coordinates):
Tl  0.1739  0.4605  0.6111
Tl  0.3889  0.8261  0.5395
Tl  0.4605  0.6111  0.1739
Tl  0.5395  0.3889  0.8261
Tl  0.6111  0.1739  0.4605
Tl  0.8261  0.5395  0.3889
In  0.2435  0.2435  0.2435
In  0.7565  0.7565  0.7565
Sn  0.0363  0.9038  0.3075
Sn  0.0962  0.6925  0.9637
Sn  0.3075  0.0363  0.9038
Sn  0.6925  0.9637  0.0962
Sn  0.9038  0.3075  0.0363
Sn  0.9637  0.0962  0.6925

E above lowest polymorph = 0 meV/atom
ΔE_f = 0.026 eV per atom
magnetization = 0.000 Bohr magnetons per cell


Entry 12:
This record from the Alexandria database describes a relaxed structure of TlIn2Sn2. The functional is PBE.

Cell: 3.3130 5.5573 8.2830 Å, 71.07 79.57 89.75°
Atoms (fractional coordinates):
Tl  0.0000  0.0000  0.0000
In  0.2930  0.7948  0.4117
In  0.7070  0.2052  0.5883
Sn  0.3938  0.3906  0.2151
Sn  0.6062  0.6094  0.7849

E above lowest polymorph = 0 meV/atom
ΔE_f = 0.028 eV per atom
magnetization = 0.000 Bohr magnetons per cell


Entry 13:
This record from the Alexandria database describes a relaxed structure of TlIn4Sn2. The functional is PBE.

Cell: 5.4679 16.9904 4.5399 Å, 90.00 90.00 90.00°
Atoms (fractional coordinates):
Tl  0.0000  0.0000  0.0000
Tl  0.5000  0.5000  0.0000
In  0.0000  0.1698  0.5000
In  0.0000  0.2975  0.0000
In  0.0000  0.7025  0.0000
In  0.0000  0.8302  0.5000
In  0.5000  0.2025  0.0000
In  0.5000  0.3302  0.5000
In  0.5000  0.6698  0.5000
In  0.5000  0.7975  0.0000
Sn  0.0000  0.4146  0.5000
Sn  0.0000  0.5854  0.5000
Sn  0.5000  0.0854  0.5000
Sn  0.5000  0.9146  0.5000

E above lowest polymorph = 3 meV/atom
ΔE_f = 0.058 eV per atom
magnetization = 0.000 Bohr magnetons per cell


Entry 14:
This record from the Alexandria database describes a relaxed structure of Tl2In12Sn5. The functional is PBE.

Cell: 11.0192 11.0192 5.5077 Å, 98.60 98.60 56.32°
Atoms (fractional coordinates):
Tl  0.2229  0.7771  0.0000
Tl  0.7771  0.2229  0.0000
In  0.0690  0.5317  0.8059
In  0.1061  0.1061  0.2552
In  0.1579  0.6304  0.3886
In  0.3696  0.8421  0.6114
In  0.4071  0.4071  0.9384
In  0.4683  0.9310  0.1941
In  0.5317  0.0690  0.8059
In  0.5929  0.5929  0.0616
In  0.6304  0.1579  0.3886
In  0.8421  0.3696  0.6114
In  0.8939  0.8939  0.7448
In  0.9310  0.4683  0.1941
Sn  0.1889  0.1889  0.8028
Sn  0.2821  0.2821  0.3540
Sn  0.5000  0.5000  0.5000
Sn  0.7179  0.7179  0.6460
Sn  0.8111  0.8111  0.1972

E above lowest polymorph = 5 meV/atom
ΔE_f = 0.047 eV per atom
magnetization = 0.000 Bohr magnetons per cell


Entry 15:
This record from the Alexandria database describes a relaxed structure of TlIn12Sn6. The functional is PBE.

Cell: 8.8104 8.8104 8.8104 Å, 107.36 107.36 107.36°
Atoms (fractional coordinates):
Tl  0.0000  0.0000  0.0000
In  0.1124  0.3484  0.3484
In  0.1126  0.5000  0.8874
In  0.1126  0.8874  0.5000
In  0.3484  0.1124  0.3484
In  0.3484  0.3484  0.1124
In  0.5000  0.1126  0.8874
In  0.5000  0.8874  0.1126
In  0.6516  0.6516  0.8876
In  0.6516  0.8876  0.6516
In  0.8874  0.1126  0.5000
In  0.8874  0.5000  0.1126
In  0.8876  0.6516  0.6516
Sn  0.2893  0.6954  0.6954
Sn  0.3046  0.3046  0.7107
Sn  0.3046  0.7107  0.3046
Sn  0.6954  0.2893  0.6954
Sn  0.6954  0.6954  0.2893
Sn  0.7107  0.3046  0.3046

E above lowest polymorph = 0 meV/atom
ΔE_f = 0.068 eV per atom
magnetization = 0.000 Bohr magnetons per cell


Entry 16:
This record from the Alexandria database describes a relaxed structure of Tl5InSn2. The functional is PBE.

Cell: 6.7680 13.7613 5.0667 Å, 90.00 90.00 90.00°
Atoms (fractional coordinates):
Tl  0.0000  0.0000  0.0000
Tl  0.0246  0.2526  0.0000
Tl  0.2205  0.8682  0.5000
Tl  0.2795  0.3682  0.5000
Tl  0.4754  0.7526  0.0000
Tl  0.5000  0.5000  0.0000
Tl  0.5246  0.2474  0.0000
Tl  0.7205  0.6318  0.5000
Tl  0.7795  0.1318  0.5000
Tl  0.9754  0.7474  0.0000
In  0.0000  0.5000  0.0000
In  0.5000  0.0000  0.0000
Sn  0.2169  0.6124  0.5000
Sn  0.2831  0.1124  0.5000
Sn  0.7169  0.8876  0.5000
Sn  0.7831  0.3876  0.5000

ΔE_f = 0.030 eV per atom
magnetization = 0.000 Bohr magnetons per cell


Entry 17:
This record from the Alexandria database describes a relaxed structure of TlIn4Sn2. The functional is PBE.

Cell: 9.3893 9.3893 9.3893 Å, 32.28 32.28 32.28°
Atoms (fractional coordinates):
Tl  0.0000  0.0000  0.0000
In  0.1327  0.1327  0.1327
In  0.3847  0.3847  0.3847
In  0.6153  0.6153  0.6153
In  0.8673  0.8673  0.8673
Sn  0.2506  0.2506  0.2506
Sn  0.7494  0.7494  0.7494

E above lowest polymorph = 0 meV/atom
ΔE_f = 0.056 eV per atom
magnetization = 0.000 Bohr magnetons per cell


Entry 18:
This record from the Alexandria database describes a relaxed structure of Tl5In2Sn. The functional is PBE.

Cell: 6.6070 6.6070 14.8988 Å, 90.00 90.00 131.35°
Atoms (fractional coordinates):
Tl  0.0326  0.9674  0.7500
Tl  0.1333  0.8667  0.0331
Tl  0.1333  0.8667  0.4669
Tl  0.4338  0.5662  0.1038
Tl  0.4338  0.5662  0.3962
Tl  0.5662  0.4338  0.6038
Tl  0.5662  0.4338  0.8962
Tl  0.8667  0.1333  0.5331
Tl  0.8667  0.1333  0.9669
Tl  0.9674  0.0326  0.2500
In  0.2955  0.7045  0.6419
In  0.2955  0.7045  0.8581
In  0.7045  0.2955  0.1419
In  0.7045  0.2955  0.3581
Sn  0.2394  0.7606  0.2500
Sn  0.7606  0.2394  0.7500

E above lowest polymorph = 0 meV/atom
ΔE_f = 0.034 eV per atom
magnetization = 0.000 Bohr magnetons per cell


Entry 19:
This record from the Alexandria database describes a relaxed structure of Tl6InSn. The functional is PBE.

Cell: 4.7581 4.7581 10.5980 Å, 90.00 90.00 90.00°
Atoms (fractional coordinates):
Tl  0.0000  0.0000  0.0000
Tl  0.0000  0.0000  0.5000
Tl  0.0000  0.5000  0.2463
Tl  0.0000  0.5000  0.7537
Tl  0.5000  0.0000  0.2463
Tl  0.5000  0.0000  0.7537
In  0.5000  0.5000  0.5000
Sn  0.5000  0.5000  0.0000

E above lowest polymorph = 0 meV/atom
ΔE_f = 0.035 eV per atom
magnetization = 0.000 Bohr magnetons per cell


Entry 20:
This record from the Alexandria database describes a relaxed structure of Tl7In4Sn. The functional is PBE.

Cell: 5.5081 5.5081 13.3929 Å, 90.00 90.00 120.00°
Atoms (fractional coordinates):
Tl  0.0000  0.0000  0.0000
Tl  0.0000  0.0000  0.2532
Tl  0.0000  0.0000  0.7468
Tl  0.3333  0.6667  0.1540
Tl  0.3333  0.6667  0.4101
Tl  0.6667  0.3333  0.5899
Tl  0.6667  0.3333  0.8460
In  0.3333  0.6667  0.6620
In  0.3333  0.6667  0.9061
In  0.6667  0.3333  0.0939
In  0.6667  0.3333  0.3380
Sn  0.0000  0.0000  0.5000

E above lowest polymorph = 0 meV/atom
ΔE_f = 0.018 eV per atom
magnetization = 0.000 Bohr magnetons per cell